Arrangement a

# CsCu2Pt2, relaxed, DFT PBE
data_CsCu2Pt2
_chemical_formula_sum 'Cs1 Cu2 Pt2'
_space_group_name_H-M_alt 'P 1'
_space_group_IT_number 1
_cell_length_a 6.1391
_cell_length_b 6.1391
_cell_length_c 6.1391
_cell_angle_alpha 137.31
_cell_angle_beta 137.31
_cell_angle_gamma 61.97
loop_
_space_group_symop_operation_xyz
'x,y,z'
loop_
_atom_site_label
_atom_site_fract_x
_atom_site_fract_y
_atom_site_fract_z
Cs1 0.0000 0.0000 0.0000
Cu1 0.2500 0.7500 0.5000
Cu2 0.7500 0.2500 0.5000
Pt1 0.3733 0.3733 0.0000
Pt2 0.6267 0.6267 0.0000
# - Fermi-level density of states (states/eV/atom) = 0.660
# - mass density (g/cm3) = 10.3
# - magnetic moment (μB per formula unit) = 0.00
# - V (Å³/atom) = 21.03

***

Arrangement b

# CsCu2Pt2, relaxed, DFT PBE
data_CsCu2Pt2
_chemical_formula_sum 'Cs1 Cu2 Pt2'
_space_group_name_H-M_alt 'P 1'
_space_group_IT_number 1
_cell_length_a 6.8826
_cell_length_b 6.8826
_cell_length_c 6.8826
_cell_angle_alpha 139.69
_cell_angle_beta 139.69
_cell_angle_gamma 58.32
loop_
_space_group_symop_operation_xyz
'x,y,z'
loop_
_atom_site_label
_atom_site_fract_x
_atom_site_fract_y
_atom_site_fract_z
Cs1 0.0000 0.0000 0.0000
Cu1 0.3007 0.3007 0.0000
Cu2 0.6993 0.6993 0.0000
Pt1 0.2500 0.7500 0.5000
Pt2 0.7500 0.2500 0.5000
# - Fermi-level density of states (states/eV/atom) = 0.554
# - mass density (g/cm3) = 8.0
# - magnetic moment (μB per formula unit) = 0.00
# - V (Å³/atom) = 27.04

***

Relative stability in meV/atom, measured from the most stable structure: arrangement a 19; arrangement b 0